First-principles (PBE with a Hubbard U) data for MnMoHO2 after structural relaxation, as listed in the Alexandria database.

Properties
Theoretical density = 5.0 Mg/m³
Total energy = -31.21 eV per cell
Symmetry = No. 123

Unit cell a=4.1871 b=4.1871 c=3.5162 alpha=90.00 beta=90.00 gamma=90.00
Last column: nearest neighbours and their distance in Å.
Element x y z (fractional)
Mn1 0.0000 0.0000 0.0000  8 O 2.73, 4 H 2.96
Mo1 0.5000 0.5000 0.5000  2 H 1.76
H1 0.5000 0.5000 0.0000  2 Mo 1.76
O1 0.0000 0.5000 0.5000  2 Mo 2.09
O2 0.5000 0.0000 0.5000  2 Mo 2.09